Entry from the Alexandria database: a geometry-optimized Sc3Re structure (PBEsol).

Values from the calculation:
**Formation enthalpy at 0 K**: 16.32 kcal/mol of atoms
**Size of the total moment**: 0.00 μB per cell
**Calculated total energy**: -7.579 eV per atom

abc: 5.064 5.064 5.064
angles: 90.00 90.00 90.00
Atoms (fractional coordinates):
Sc 0.500 0.000 0.000
Re 0.000 0.000 0.000
Sc 0.000 0.500 0.000
Sc 0.000 0.000 0.500